## 1
# Pa2SiBi | Alexandria via LeMat-Bulk | PBE | optimized geometry
data_Pa2SiBi
_chemical_formula_sum 'Pa2 Si1 Bi1'
_symmetry_space_group_name_H-M 'P 1'
_symmetry_Int_Tables_number 1
_cell_length_a 3.553
_cell_length_b 3.553
_cell_length_c 8.183
_cell_angle_alpha 95.17
_cell_angle_beta 95.17
_cell_angle_gamma 77.39
loop_
_symmetry_equiv_pos_as_xyz
'x,y,z'
loop_
_atom_site_label
_atom_site_type_symbol
_atom_site_fract_x
_atom_site_fract_y
_atom_site_fract_z
Pa1 Pa 0.946 0.946 0.710
Pa2 Pa 0.054 0.054 0.290
Si1 Si 0.500 0.500 0.500
Bi1 Bi 0.500 0.500 0.000
# Size of the total moment = 0.00 μB per formula unit
# SG = C2/m (12)
# Theoretical density = 11.6 Mg/m³

## 2
# Pa2SiBi | Alexandria via LeMat-Bulk | PBE | optimized geometry
data_Pa2SiBi
_chemical_formula_sum 'Pa2 Si1 Bi1'
_symmetry_space_group_name_H-M 'P 1'
_symmetry_Int_Tables_number 1
_cell_length_a 3.487
_cell_length_b 3.487
_cell_length_c 7.998
_cell_angle_alpha 90.00
_cell_angle_beta 90.00
_cell_angle_gamma 90.00
loop_
_symmetry_equiv_pos_as_xyz
'x,y,z'
loop_
_atom_site_label
_atom_site_type_symbol
_atom_site_fract_x
_atom_site_fract_y
_atom_site_fract_z
Si1 Si 0.500 0.500 0.000
Pa1 Pa 0.000 0.000 0.794
Pa2 Pa 0.000 0.000 0.206
Bi1 Bi 0.500 0.500 0.500
# Size of the total moment = 0.00 μB per formula unit
# SG = P4/mmm (123)
# Theoretical density = 11.9 Mg/m³

## 3
# Pa2SiBi | Alexandria via LeMat-Bulk | PBE | optimized geometry
data_Pa2SiBi
_chemical_formula_sum 'Pa2 Si1 Bi1'
_symmetry_space_group_name_H-M 'P 1'
_symmetry_Int_Tables_number 1
_cell_length_a 4.183
_cell_length_b 4.183
_cell_length_c 7.610
_cell_angle_alpha 74.05
_cell_angle_beta 74.05
_cell_angle_gamma 60.00
loop_
_symmetry_equiv_pos_as_xyz
'x,y,z'
loop_
_atom_site_label
_atom_site_type_symbol
_atom_site_fract_x
_atom_site_fract_y
_atom_site_fract_z
Si1 Si 0.000 0.000 0.000
Pa1 Pa 0.264 0.264 0.209
Pa2 Pa 0.736 0.736 0.791
Bi1 Bi 0.500 0.500 0.500
# Size of the total moment = 0.00 μB per formula unit
# SG = R-3m (166)
# Theoretical density = 10.6 Mg/m³

Least stable structure: 2

## 1
# PaSnBi | Alexandria via LeMat-Bulk | PBE | optimized geometry
data_PaSnBi
_chemical_formula_sum 'Pa1 Sn1 Bi1'
_symmetry_space_group_name_H-M 'P 1'
_symmetry_Int_Tables_number 1
_cell_length_a 3.160
_cell_length_b 5.480
_cell_length_c 5.480
_cell_angle_alpha 120.00
_cell_angle_beta 90.00
_cell_angle_gamma 90.00
loop_
_symmetry_equiv_pos_as_xyz
'x,y,z'
loop_
_atom_site_label
_atom_site_type_symbol
_atom_site_fract_x
_atom_site_fract_y
_atom_site_fract_z
Pa1 Pa 0.333 0.667 0.333
Bi1 Bi 0.834 0.000 0.000
Sn1 Sn 0.833 0.333 0.667
# Size of the total moment = 0.46 μB per formula unit
# SG = P-6m2 (187)
# Theoretical density = 11.3 Mg/m³

## 2
# PaSnBi | Alexandria via LeMat-Bulk | PBE | optimized geometry
data_PaSnBi
_chemical_formula_sum 'Pa1 Sn1 Bi1'
_symmetry_space_group_name_H-M 'P 1'
_symmetry_Int_Tables_number 1
_cell_length_a 3.996
_cell_length_b 3.996
_cell_length_c 5.893
_cell_angle_alpha 109.82
_cell_angle_beta 109.82
_cell_angle_gamma 90.00
loop_
_symmetry_equiv_pos_as_xyz
'x,y,z'
loop_
_atom_site_label
_atom_site_type_symbol
_atom_site_fract_x
_atom_site_fract_y
_atom_site_fract_z
Pa1 Pa 0.669 0.669 0.339
Bi1 Bi 0.001 0.001 0.003
Sn1 Sn 0.329 0.329 0.658
# Size of the total moment = 0.98 μB per formula unit
# SG = I4mm (107)
# Theoretical density = 11.2 Mg/m³

## 3
# PaSnBi | Alexandria via LeMat-Bulk | PBE | optimized geometry
data_PaSnBi
_chemical_formula_sum 'Pa2 Sn2 Bi2'
_symmetry_space_group_name_H-M 'P 1'
_symmetry_Int_Tables_number 1
_cell_length_a 4.400
_cell_length_b 4.400
_cell_length_c 9.350
_cell_angle_alpha 103.61
_cell_angle_beta 103.61
_cell_angle_gamma 90.00
loop_
_symmetry_equiv_pos_as_xyz
'x,y,z'
loop_
_atom_site_label
_atom_site_type_symbol
_atom_site_fract_x
_atom_site_fract_y
_atom_site_fract_z
Pa1 Pa 0.367 0.367 0.735
Pa2 Pa 0.633 0.633 0.265
Sn1 Sn 0.000 0.500 0.000
Sn2 Sn 0.500 0.000 0.000
Bi1 Bi 0.180 0.180 0.360
Bi2 Bi 0.820 0.820 0.640
# Size of the total moment = 0.00 μB per formula unit
# SG = I4/mmm (139)
# Theoretical density = 10.9 Mg/m³

## 4
# PaSnBi | Alexandria via LeMat-Bulk | PBE | optimized geometry
data_PaSnBi
_chemical_formula_sum 'Pa2 Sn2 Bi2'
_symmetry_space_group_name_H-M 'P 1'
_symmetry_Int_Tables_number 1
_cell_length_a 5.148
_cell_length_b 3.281
_cell_length_c 9.975
_cell_angle_alpha 80.53
_cell_angle_beta 90.00
_cell_angle_gamma 90.00
loop_
_symmetry_equiv_pos_as_xyz
'x,y,z'
loop_
_atom_site_label
_atom_site_type_symbol
_atom_site_fract_x
_atom_site_fract_y
_atom_site_fract_z
Pa1 Pa 0.750 0.459 0.082
Pa2 Pa 0.250 0.541 0.918
Bi1 Bi 0.750 0.287 0.426
Bi2 Bi 0.250 0.713 0.574
Sn1 Sn 0.750 0.105 0.790
Sn2 Sn 0.250 0.895 0.210
# Size of the total moment = 0.00 μB per formula unit
# SG = Cmcm (63)
# Theoretical density = 11.2 Mg/m³

Least stable structure: 4

## 1
# PaSn2Bi | Alexandria via LeMat-Bulk | PBE | optimized geometry
data_PaSn2Bi
_chemical_formula_sum 'Pa1 Sn2 Bi1'
_symmetry_space_group_name_H-M 'P 1'
_symmetry_Int_Tables_number 1
_cell_length_a 5.548
_cell_length_b 5.548
_cell_length_c 5.323
_cell_angle_alpha 58.59
_cell_angle_beta 58.59
_cell_angle_gamma 60.00
loop_
_symmetry_equiv_pos_as_xyz
'x,y,z'
loop_
_atom_site_label
_atom_site_type_symbol
_atom_site_fract_x
_atom_site_fract_y
_atom_site_fract_z
Pa1 Pa 0.500 0.500 0.500
Bi1 Bi 0.000 0.000 0.000
Sn1 Sn 0.248 0.248 0.257
Sn2 Sn 0.752 0.752 0.743
# Size of the total moment = 1.12 μB per formula unit
# SG = R-3m (166)
# Theoretical density = 9.9 Mg/m³

## 2
# PaSn2Bi | Alexandria via LeMat-Bulk | PBE | optimized geometry
data_PaSn2Bi
_chemical_formula_sum 'Pa1 Sn2 Bi1'
_symmetry_space_group_name_H-M 'P 1'
_symmetry_Int_Tables_number 1
_cell_length_a 4.801
_cell_length_b 4.690
_cell_length_c 4.690
_cell_angle_alpha 90.00
_cell_angle_beta 90.00
_cell_angle_gamma 90.00
loop_
_symmetry_equiv_pos_as_xyz
'x,y,z'
loop_
_atom_site_label
_atom_site_type_symbol
_atom_site_fract_x
_atom_site_fract_y
_atom_site_fract_z
Pa1 Pa 0.500 0.500 0.500
Bi1 Bi 0.500 0.000 0.000
Sn1 Sn 0.000 0.000 0.500
Sn2 Sn 0.000 0.500 0.000
# Size of the total moment = 0.00 μB per formula unit
# SG = P4/mmm (123)
# Theoretical density = 10.7 Mg/m³

## 3
# PaSn2Bi | Alexandria via LeMat-Bulk | PBE | optimized geometry
data_PaSn2Bi
_chemical_formula_sum 'Pa1 Sn2 Bi1'
_symmetry_space_group_name_H-M 'P 1'
_symmetry_Int_Tables_number 1
_cell_length_a 4.146
_cell_length_b 4.146
_cell_length_c 6.374
_cell_angle_alpha 90.00
_cell_angle_beta 90.00
_cell_angle_gamma 90.00
loop_
_symmetry_equiv_pos_as_xyz
'x,y,z'
loop_
_atom_site_label
_atom_site_type_symbol
_atom_site_fract_x
_atom_site_fract_y
_atom_site_fract_z
Pa1 Pa 0.500 0.500 0.500
Bi1 Bi 0.500 0.500 0.000
Sn1 Sn 0.000 0.000 0.740
Sn2 Sn 0.000 0.000 0.260
# Size of the total moment = 0.00 μB per formula unit
# SG = P4/mmm (123)
# Theoretical density = 10.3 Mg/m³

Least stable structure: 1

## 1
# Pa2SnBi | Alexandria via LeMat-Bulk | PBE | optimized geometry
data_Pa2SnBi
_chemical_formula_sum 'Pa2 Sn1 Bi1'
_symmetry_space_group_name_H-M 'P 1'
_symmetry_Int_Tables_number 1
_cell_length_a 3.299
_cell_length_b 3.299
_cell_length_c 11.967
_cell_angle_alpha 82.08
_cell_angle_beta 82.08
_cell_angle_gamma 60.00
loop_
_symmetry_equiv_pos_as_xyz
'x,y,z'
loop_
_atom_site_label
_atom_site_type_symbol
_atom_site_fract_x
_atom_site_fract_y
_atom_site_fract_z
Pa1 Pa 0.090 0.090 0.730
Pa2 Pa 0.910 0.910 0.270
Bi1 Bi 0.000 0.000 0.000
Sn1 Sn 0.500 0.500 0.500
# Size of the total moment = 0.00 μB per formula unit
# SG = R-3m (166)
# Theoretical density = 11.8 Mg/m³

## 2
# Pa2SnBi | Alexandria via LeMat-Bulk | PBE | optimized geometry
data_Pa2SnBi
_chemical_formula_sum 'Pa2 Sn1 Bi1'
_symmetry_space_group_name_H-M 'P 1'
_symmetry_Int_Tables_number 1
_cell_length_a 3.323
_cell_length_b 5.702
_cell_length_c 5.702
_cell_angle_alpha 90.00
_cell_angle_beta 90.00
_cell_angle_gamma 90.00
loop_
_symmetry_equiv_pos_as_xyz
'x,y,z'
loop_
_atom_site_label
_atom_site_type_symbol
_atom_site_fract_x
_atom_site_fract_y
_atom_site_fract_z
Pa1 Pa 0.000 0.000 0.500
Pa2 Pa 0.000 0.500 0.000
Bi1 Bi 0.500 0.000 0.000
Sn1 Sn 0.500 0.500 0.500
# Size of the total moment = 2.07 μB per formula unit
# SG = P4/mmm (123)
# Theoretical density = 12.1 Mg/m³

## 3
# Pa2SnBi | Alexandria via LeMat-Bulk | PBE | optimized geometry
data_Pa2SnBi
_chemical_formula_sum 'Pa2 Sn1 Bi1'
_symmetry_space_group_name_H-M 'P 1'
_symmetry_Int_Tables_number 1
_cell_length_a 5.331
_cell_length_b 5.331
_cell_length_c 5.331
_cell_angle_alpha 60.00
_cell_angle_beta 60.00
_cell_angle_gamma 60.00
loop_
_symmetry_equiv_pos_as_xyz
'x,y,z'
loop_
_atom_site_label
_atom_site_type_symbol
_atom_site_fract_x
_atom_site_fract_y
_atom_site_fract_z
Pa1 Pa 0.250 0.250 0.250
Pa2 Pa 0.750 0.750 0.750
Bi1 Bi 0.000 0.000 0.000
Sn1 Sn 0.500 0.500 0.500
# Size of the total moment = 0.00 μB per formula unit
# SG = Fm-3m (225)
# Theoretical density = 12.2 Mg/m³

Least stable structure: 1

## 1
# Tb2PaBi | Alexandria via LeMat-Bulk | PBE | optimized geometry
data_Tb2PaBi
_chemical_formula_sum 'Tb2 Pa1 Bi1'
_symmetry_space_group_name_H-M 'P 1'
_symmetry_Int_Tables_number 1
_cell_length_a 3.450
_cell_length_b 3.450
_cell_length_c 12.110
_cell_angle_alpha 81.81
_cell_angle_beta 81.81
_cell_angle_gamma 60.00
loop_
_symmetry_equiv_pos_as_xyz
'x,y,z'
loop_
_atom_site_label
_atom_site_type_symbol
_atom_site_fract_x
_atom_site_fract_y
_atom_site_fract_z
Pa1 Pa 0.500 0.500 0.500
Tb1 Tb 0.090 0.090 0.730
Tb2 Tb 0.910 0.910 0.270
Bi1 Bi 0.000 0.000 0.000
# Size of the total moment = 0.00 μB per formula unit
# SG = R-3m (166)
# Theoretical density = 10.2 Mg/m³

## 2
# Tb2PaBi | Alexandria via LeMat-Bulk | PBE | optimized geometry
data_Tb2PaBi
_chemical_formula_sum 'Tb2 Pa1 Bi1'
_symmetry_space_group_name_H-M 'P 1'
_symmetry_Int_Tables_number 1
_cell_length_a 4.515
_cell_length_b 4.954
_cell_length_c 4.954
_cell_angle_alpha 90.00
_cell_angle_beta 90.00
_cell_angle_gamma 90.00
loop_
_symmetry_equiv_pos_as_xyz
'x,y,z'
loop_
_atom_site_label
_atom_site_type_symbol
_atom_site_fract_x
_atom_site_fract_y
_atom_site_fract_z
Pa1 Pa 0.500 0.500 0.500
Tb1 Tb 0.000 0.000 0.500
Tb2 Tb 0.000 0.500 0.000
Bi1 Bi 0.500 0.000 0.000
# Size of the total moment = 0.00 μB per formula unit
# SG = P4/mmm (123)
# Theoretical density = 11.4 Mg/m³

Least stable structure: 1

## 1
# Pa2BiTe | Alexandria via LeMat-Bulk | PBE | optimized geometry
data_Pa2BiTe
_chemical_formula_sum 'Pa2 Bi1 Te1'
_symmetry_space_group_name_H-M 'P 1'
_symmetry_Int_Tables_number 1
_cell_length_a 5.344
_cell_length_b 5.344
_cell_length_c 5.344
_cell_angle_alpha 60.00
_cell_angle_beta 60.00
_cell_angle_gamma 60.00
loop_
_symmetry_equiv_pos_as_xyz
'x,y,z'
loop_
_atom_site_label
_atom_site_type_symbol
_atom_site_fract_x
_atom_site_fract_y
_atom_site_fract_z
Pa1 Pa 0.750 0.750 0.750
Pa2 Pa 0.250 0.250 0.250
Bi1 Bi 0.500 0.500 0.500
Te1 Te 0.000 0.000 0.000
# Size of the total moment = 2.18 μB per formula unit
# SG = Fm-3m (225)
# Theoretical density = 12.3 Mg/m³

## 2
# Pa2BiTe | Alexandria via LeMat-Bulk | PBE | optimized geometry
data_Pa2BiTe
_chemical_formula_sum 'Pa2 Bi1 Te1'
_symmetry_space_group_name_H-M 'P 1'
_symmetry_Int_Tables_number 1
_cell_length_a 4.164
_cell_length_b 4.164
_cell_length_c 8.459
_cell_angle_alpha 75.75
_cell_angle_beta 75.75
_cell_angle_gamma 60.00
loop_
_symmetry_equiv_pos_as_xyz
'x,y,z'
loop_
_atom_site_label
_atom_site_type_symbol
_atom_site_fract_x
_atom_site_fract_y
_atom_site_fract_z
Pa1 Pa 0.079 0.079 0.762
Pa2 Pa 0.254 0.254 0.237
Bi1 Bi 0.499 0.499 0.502
Te1 Te 0.667 0.667 0.999
# Size of the total moment = 2.58 μB per formula unit
# SG = R3m (160)
# Theoretical density = 10.9 Mg/m³

Least stable structure: 2